No. 1
The following is a DFT calculation (SCAN) of Ba2PN at its PBEsol-relaxed geometry.

Symmetry: No. 225
Density in Mg/m³: 5.220
Calculated volume in Å³/cell: 101.7
Formation energy (no corrections) in eV per atom: -0.252

Geometry as extended XYZ:
```
4
Lattice="0.000 3.705 3.705 3.705 0.000 3.705 3.705 3.705 0.000" Properties=species:S:1:pos:R:3 pbc="T T T"
Ba 1.852 1.852 1.852
Ba 5.557 5.557 5.557
P 0.000 0.000 0.000
N 3.705 3.705 3.705
```

---

No. 2
The following is a DFT calculation (SCAN) of SrAuBr at its PBEsol-relaxed geometry.

Symmetry: No. 216
Density in Mg/m³: 6.365
Calculated volume in Å³/cell: 95.1
Formation energy (no corrections) in eV per atom: -1.359

Geometry as extended XYZ:
```
3
Lattice="0.000 3.623 3.623 3.623 0.000 3.623 3.623 3.623 0.000" Properties=species:S:1:pos:R:3 pbc="T T T"
Sr 0.000 0.000 0.000
Au 5.434 5.434 5.434
Br 1.811 1.811 1.811
```

---

No. 3
The following is a DFT calculation (SCAN) of RbBaCoC2 at its PBEsol-relaxed geometry.

DFT formation energy in eV per formula unit: 16.04
Symmetry: No. 123
Density in Mg/m³: 3.973
Calculated volume in Å³/cell: 127.8

Geometry as extended XYZ:
```
5
Lattice="4.687 0.000 0.000 0.000 4.687 0.000 0.000 0.000 5.817" Properties=species:S:1:pos:R:3 pbc="T T T"
Rb 0.000 0.000 0.000
Ba 0.000 0.000 2.909
Co 2.344 2.344 2.909
C 0.000 2.344 0.000
C 2.344 0.000 0.000
```

---

No. 4
The following is a DFT calculation (SCAN) of CuAgCl2 at its PBEsol-relaxed geometry.

Symmetry: No. 6
Density in Mg/m³: 4.821
Calculated volume in Å³/cell: 83.5
Formation energy (no corrections) in eV per atom: -0.489

Geometry as extended XYZ:
```
4
Lattice="4.066 0.000 0.000 0.000 3.676 0.000 -0.076 0.000 5.584" Properties=species:S:1:pos:R:3 pbc="T T T"
Cu 0.000 0.000 0.000
Ag 3.244 1.838 1.867
Cl 1.314 0.000 1.758
Cl 3.343 1.838 4.476
```

---

No. 5
The following is a DFT calculation (SCAN) of HfCo2Pd at its PBEsol-relaxed geometry.

DFT formation energy in eV per formula unit: -0.94
Symmetry: No. 225
Density in Mg/m³: 12.432
Calculated volume in Å³/cell: 53.8

Geometry as extended XYZ:
```
4
Lattice="0.000 2.996 2.996 2.996 0.000 2.996 2.996 2.996 0.000" Properties=species:S:1:pos:R:3 pbc="T T T"
Hf 0.000 0.000 0.000
Co 1.498 1.498 1.498
Co 4.494 4.494 4.494
Pd 2.996 2.996 2.996
```

---

No. 6
The following is a DFT calculation (SCAN) of BaHgO2 at its PBEsol-relaxed geometry.

Symmetry: No. 182
Density in Mg/m³: 7.286
Calculated volume in Å³/cell: 505.9
Formation energy (no corrections) in eV per atom: -1.686

Geometry as extended XYZ:
```
24
Lattice="6.837 0.000 0.000 -3.418 5.921 0.000 0.000 0.000 12.498" Properties=species:S:1:pos:R:3 pbc="T T T"
Ba 0.000 0.000 0.000
Ba 0.000 0.000 6.249
Ba 0.000 3.947 0.416
Ba 0.000 3.947 5.833
Ba 3.418 1.974 6.665
Ba 3.418 1.974 12.082
Hg 0.000 2.079 9.373
Hg -1.618 4.881 9.373
Hg 1.800 1.039 3.124
Hg 1.618 4.881 9.373
Hg 5.036 1.039 3.124
Hg 3.418 3.842 3.124
O -0.946 2.081 7.618
O -2.089 4.061 11.128
O 0.946 2.081 11.128
O -1.143 5.699 7.618
O 2.275 0.221 4.879
O 1.329 1.860 1.369
O 2.089 4.061 7.618
O 1.143 5.699 11.128
O 4.561 0.221 1.369
O 2.472 3.839 4.879
O 5.507 1.860 4.879
O 4.364 3.839 1.369
```

---

No. 7
The following is a DFT calculation (SCAN) of ZrTi2Si2 at its PBEsol-relaxed geometry.

Symmetry: No. 127
Density in Mg/m³: 5.094
Calculated volume in Å³/cell: 158.5
Formation energy (no corrections) in eV per atom: -0.758

Geometry as extended XYZ:
```
10
Lattice="6.898 0.000 0.000 0.000 6.898 0.000 0.000 0.000 3.331" Properties=species:S:1:pos:R:3 pbc="T T T"
Zr 0.000 0.000 0.000
Zr 3.449 3.449 0.000
Ti 1.188 2.261 1.666
Ti 2.261 5.710 1.666
Ti 4.637 1.188 1.666
Ti 5.710 4.637 1.666
Si 0.850 4.299 0.000
Si 2.599 0.850 0.000
Si 4.299 6.048 0.000
Si 6.048 2.599 0.000
```

---

No. 8
The following is a DFT calculation (SCAN) of CaMg2Tc at its PBEsol-relaxed geometry.

DFT formation energy in eV per formula unit: 1.20
Symmetry: No. 47
Density in Mg/m³: 3.783
Calculated volume in Å³/cell: 81.9
Energy above the lowest structure with this stoichiometry in meV per atom: 0.0

Geometry as extended XYZ:
```
4
Lattice="3.070 0.000 0.000 0.000 3.834 0.000 0.000 0.000 6.962" Properties=species:S:1:pos:R:3 pbc="T T T"
Ca 0.000 0.000 0.000
Mg 1.535 1.917 2.111
Mg 1.535 1.917 4.851
Tc 0.000 0.000 3.481
```

---

No. 9
The following is a DFT calculation (SCAN) of KTlAs2 at its PBEsol-relaxed geometry.

DFT formation energy in eV per formula unit: -1.18
Symmetry: No. 6
Density in Mg/m³: 5.621
Calculated volume in Å³/cell: 116.2
Energy above the lowest structure with this stoichiometry in meV per atom: 2.6

Geometry as extended XYZ:
```
4
Lattice="5.071 0.000 0.000 0.000 3.732 0.000 -1.633 0.000 6.140" Properties=species:S:1:pos:R:3 pbc="T T T"
K 0.000 0.000 0.000
Tl 2.758 1.866 2.581
As 0.212 0.000 3.352
As 0.936 1.866 4.842
```

---

No. 10
The following is a DFT calculation (SCAN) of HfTiAs3 at its PBEsol-relaxed geometry.

DFT formation energy in eV per formula unit: 1.43
Symmetry: No. 221
Density in Mg/m³: 5.965
Calculated volume in Å³/cell: 125.6

Geometry as extended XYZ:
```
5
Lattice="5.008 0.000 0.000 0.000 5.008 0.000 0.000 0.000 5.008" Properties=species:S:1:pos:R:3 pbc="T T T"
Hf 0.000 0.000 0.000
Ti 2.504 2.504 2.504
As 0.000 0.000 2.504
As 0.000 2.504 0.000
As 2.504 0.000 0.000
```

---

No. 11
The following is a DFT calculation (SCAN) of LaZrPt at its PBEsol-relaxed geometry.

DFT formation energy in eV per formula unit: -1.76
Symmetry: No. 216
Density in Mg/m³: 9.074
Calculated volume in Å³/cell: 77.8
Energy above the lowest structure with this stoichiometry in meV per atom: 178.5

Geometry as extended XYZ:
```
3
Lattice="0.000 3.388 3.388 3.388 0.000 3.388 3.388 3.388 0.000" Properties=species:S:1:pos:R:3 pbc="T T T"
La 0.000 0.000 0.000
Zr 3.388 3.388 3.388
Pt 1.694 1.694 1.694
```

---

No. 12
The following is a DFT calculation (SCAN) of Li2VO2F2 at its PBEsol-relaxed geometry.

Symmetry: No. 3
Density in Mg/m³: 3.203
Calculated volume in Å³/cell: 279.6
Energy above the lowest structure with this stoichiometry in meV per atom: 49.3
Formation energy (no corrections) in eV per atom: -2.843

Geometry as extended XYZ:
```
28
Lattice="5.879 0.000 0.000 0.000 5.788 0.000 -0.025 0.000 8.216" Properties=species:S:1:pos:R:3 pbc="T T T"
Li 0.000 0.000 0.000
Li -0.013 2.862 4.108
Li 1.398 5.734 5.212
Li 1.438 1.457 2.004
Li 1.447 2.820 7.079
Li 4.407 2.820 1.137
Li 4.416 1.457 6.211
Li 4.456 5.734 3.004
V 1.522 4.500 1.871
V 2.927 2.823 4.108
V 2.940 5.616 0.000
V 4.332 4.500 6.345
O 0.231 5.581 2.080
O 1.553 4.329 0.083
O 2.790 3.049 2.330
O 2.868 5.738 1.904
O 2.985 5.738 6.311
O 3.064 3.049 5.886
O 4.301 4.329 8.132
O 5.623 5.581 6.136
F 0.179 2.919 2.106
F 1.474 4.233 4.051
F 1.496 1.534 4.160
F 1.498 1.280 8.213
F 4.356 1.280 0.003
F 4.357 1.534 4.056
F 4.380 4.233 4.165
F 5.675 2.919 6.110
```

---

Among the records above, which one has the highest density? HfCo2Pd

---

Please write out number 7 again, unchanged.
The following is a DFT calculation (SCAN) of ZrTi2Si2 at its PBEsol-relaxed geometry.

Symmetry: No. 127
Density in Mg/m³: 5.094
Calculated volume in Å³/cell: 158.5
Formation energy (no corrections) in eV per atom: -0.758

Geometry as extended XYZ:
```
10
Lattice="6.898 0.000 0.000 0.000 6.898 0.000 0.000 0.000 3.331" Properties=species:S:1:pos:R:3 pbc="T T T"
Zr 0.000 0.000 0.000
Zr 3.449 3.449 0.000
Ti 1.188 2.261 1.666
Ti 2.261 5.710 1.666
Ti 4.637 1.188 1.666
Ti 5.710 4.637 1.666
Si 0.850 4.299 0.000
Si 2.599 0.850 0.000
Si 4.299 6.048 0.000
Si 6.048 2.599 0.000
```

---

Which value of calculated volume does entry 8 give? 81.9 Å³/cell

---

Which of these has the lowest calculated volume? HfCo2Pd